(1)
Entry from Alexandria via LeMat-Bulk: a relaxed structure of MgTePt (PBE-GGA).

POSCAR file:
```
MgTePt
1.0
4.527 -1.999 0.000
4.527 1.999 0.000
-3.334 0.000 7.961
Mg Te Pt
2 2 2
Direct
0.000 0.000 0.000
0.501 0.501 0.723
0.186 0.186 0.461
0.752 0.752 0.121
0.263 0.263 0.897
0.772 0.772 0.680
```

Energy in eV per atom: -4.1509
Formation energy (no corrections) in eV per atom: -0.559

***

(2)
Entry from Alexandria via LeMat-Bulk: a relaxed structure of MgTePt (PBE-GGA).

POSCAR file:
```
MgTePt
1.0
4.336 0.000 0.000
1.432 4.961 0.000
1.488 0.771 6.246
Mg Te Pt
2 2 2
Direct
0.000 0.000 0.000
0.471 0.468 0.646
0.350 0.393 0.144
0.826 0.912 0.548
0.433 0.841 0.277
0.871 0.559 0.907
```

Energy in eV per atom: -4.1077
Formation energy (no corrections) in eV per atom: -0.515

***

(3)
Entry from Alexandria via LeMat-Bulk: a relaxed structure of MgTePt (PBE-GGA).

POSCAR file:
```
MgTePt
1.0
8.976 0.000 0.000
0.000 4.403 0.000
0.000 0.000 7.102
Mg Te Pt
4 4 4
Direct
0.122 0.250 0.116
0.378 0.750 0.616
0.622 0.250 0.384
0.878 0.750 0.884
0.126 0.250 0.675
0.374 0.750 0.175
0.626 0.250 0.825
0.874 0.750 0.325
0.178 0.750 0.896
0.322 0.250 0.396
0.678 0.750 0.604
0.822 0.250 0.104
```

Energy in eV per atom: -4.1794
Formation energy (no corrections) in eV per atom: -0.587

***

(4)
Entry from Alexandria via LeMat-Bulk: a relaxed structure of MgTePt2 (PBE-GGA).

POSCAR file:
```
MgTePt2
1.0
3.431 0.000 0.000
0.000 3.431 0.000
0.000 0.000 6.182
Mg Te Pt
1 1 2
Direct
0.000 0.000 0.000
0.000 0.000 0.500
0.500 0.500 0.231
0.500 0.500 0.769
```

Energy in eV per atom: -4.5523
Formation energy (no corrections) in eV per atom: -0.348

***

What did the third record say?
Entry from Alexandria via LeMat-Bulk: a relaxed structure of MgTePt (PBE-GGA).

POSCAR file:
```
MgTePt
1.0
8.976 0.000 0.000
0.000 4.403 0.000
0.000 0.000 7.102
Mg Te Pt
4 4 4
Direct
0.122 0.250 0.116
0.378 0.750 0.616
0.622 0.250 0.384
0.878 0.750 0.884
0.126 0.250 0.675
0.374 0.750 0.175
0.626 0.250 0.825
0.874 0.750 0.325
0.178 0.750 0.896
0.322 0.250 0.396
0.678 0.750 0.604
0.822 0.250 0.104
```

Energy in eV per atom: -4.1794
Formation energy (no corrections) in eV per atom: -0.587